The following is a DFT calculation (GGA-PBEsol) of a relaxed CsTlBr3 crystal.

Symmetry = No. 221
E_form (uncorrected) = -0.481 eV per atom

abc: 6.344 6.344 6.344
angles: 90.00 90.00 90.00
Each line ends with the local moment (μB).
Fractional positions:
Tl 0.500 0.500 0.500  0.00
Br 0.500 0.000 0.000  0.20
Br 0.000 0.500 0.000  0.20
Br 0.000 0.000 0.500  0.20
Cs 0.000 0.000 0.000  0.10

The following is a DFT calculation (GGA-PBEsol) of a relaxed CdH2F crystal.

Symmetry = No. 141

abc: 3.344 3.344 7.831
angles: 102.33 102.33 90.00
Fractional positions:
H 0.125 0.375 0.250
H 0.125 0.875 0.750
H 0.625 0.875 0.750
H 0.125 0.875 0.250
Cd 0.250 0.750 0.500
Cd 0.000 0.000 0.000
F 0.750 0.250 0.500
F 0.500 0.500 0.000

The following is a DFT calculation (GGA-PBEsol) of a relaxed Li2CuPO4 crystal.

Energy above the lowest structure with this stoichiometry = 0.015 eV per atom
Symmetry = No. 14
E_form (uncorrected) = -1.955 eV per atom

abc: 5.068 6.038 10.782
angles: 90.00 90.00 90.88
Fractional positions:
O 0.714 0.543 0.839
O 0.286 0.457 0.161
O 0.214 0.043 0.661
O 0.891 0.236 0.083
O 0.303 0.034 0.153
O 0.391 0.736 0.417
O 0.814 0.750 0.544
O 0.803 0.534 0.347
O 0.686 0.750 0.044
O 0.109 0.764 0.917
O 0.314 0.250 0.956
O 0.786 0.957 0.339
O 0.197 0.466 0.653
O 0.186 0.250 0.456
O 0.609 0.264 0.583
O 0.697 0.966 0.847
P 0.803 0.754 0.911
P 0.303 0.254 0.589
P 0.697 0.746 0.411
P 0.197 0.246 0.089
Li 0.796 0.242 0.427
Li 0.304 0.003 0.836
Li 0.704 0.258 0.927
Li 0.204 0.758 0.573
Li 0.804 0.503 0.664
Li 0.296 0.742 0.073
Li 0.696 0.997 0.164
Li 0.196 0.497 0.336
Cu 0.714 0.506 0.171
Cu 0.214 0.006 0.329
Cu 0.286 0.494 0.829
Cu 0.786 0.994 0.671

The following is a DFT calculation (GGA-PBEsol) of a relaxed Al4ReIr crystal.

Symmetry = No. 216
E_form = 3.10 kcal/mol of atoms

abc: 4.909 4.909 4.909
angles: 60.00 60.00 60.00
Fractional positions:
Al 0.375 0.875 0.375
Al 0.875 0.375 0.375
Al 0.375 0.375 0.375
Al 0.375 0.375 0.875
Re 0.000 0.000 0.000
Ir 0.750 0.750 0.750

The following is a DFT calculation (GGA-PBEsol) of a relaxed AlInAg2 crystal.

Symmetry = No. 216
E_form = 2.69 kcal/mol of atoms

abc: 4.701 4.701 4.701
angles: 60.00 60.00 60.00
Fractional positions:
Ag 0.750 0.750 0.750
Ag 0.000 0.000 0.000
In 0.250 0.250 0.250
Al 0.500 0.500 0.500

The following is a DFT calculation (GGA-PBEsol) of a relaxed Na2Mg2NiH6 crystal.

Symmetry = No. 62

abc: 5.327 8.313 11.324
angles: 90.00 90.00 90.00
Fractional positions:
H 0.875 0.485 0.277
H 0.762 0.398 0.022
H 0.762 0.102 0.022
H 0.125 0.515 0.723
H 0.333 0.250 0.590
H 0.738 0.398 0.522
H 0.625 0.485 0.777
H 0.474 0.250 0.368
H 0.238 0.602 0.978
H 0.125 0.985 0.723
H 0.526 0.750 0.632
H 0.833 0.750 0.910
H 0.262 0.602 0.478
H 0.625 0.015 0.777
H 0.738 0.102 0.522
H 0.026 0.250 0.868
H 0.238 0.898 0.978
H 0.375 0.985 0.223
H 0.375 0.515 0.223
H 0.667 0.750 0.410
H 0.167 0.250 0.090
H 0.974 0.750 0.132
H 0.875 0.015 0.277
H 0.262 0.898 0.478
Na 0.047 0.250 0.393
Na 0.547 0.750 0.107
Na 0.066 0.750 0.328
Na 0.453 0.250 0.893
Na 0.953 0.750 0.607
Na 0.434 0.750 0.828
Na 0.934 0.250 0.672
Na 0.566 0.250 0.172
Mg 0.935 0.508 0.873
Mg 0.435 0.492 0.627
Mg 0.565 0.992 0.373
Mg 0.565 0.508 0.373
Mg 0.435 0.008 0.627
Mg 0.935 0.992 0.873
Mg 0.065 0.492 0.127
Mg 0.065 0.008 0.127
Ni 0.059 0.750 0.000
Ni 0.941 0.250 0.000
Ni 0.559 0.250 0.500
Ni 0.441 0.750 0.500

The following is a DFT calculation (GGA-PBEsol) of a relaxed SrFeMo3 crystal.

Symmetry = No. 221
E_form = 27.24 kcal/mol of atoms

abc: 4.579 4.579 4.579
angles: 90.00 90.00 90.00
Each line ends with the local moment (μB).
Fractional positions:
Mo 0.000 0.000 0.500  0.38
Mo 0.500 0.000 0.000  0.38
Mo 0.000 0.500 0.000  0.38
Sr 0.500 0.500 0.500  0.04
Fe 0.000 0.000 0.000  0.02

The following is a DFT calculation (GGA-PBEsol) of a relaxed CdAg4 crystal.

Energy above the lowest structure with this stoichiometry = 0.000 eV per atom
Symmetry = No. 87
E_form = -1.07 kcal/mol of atoms

abc: 4.113 4.996 4.996
angles: 80.24 65.69 65.69
Fractional positions:
Cd 0.000 0.000 0.000
Ag 0.401 0.401 0.798
Ag 0.599 0.599 0.202
Ag 0.802 0.798 0.599
Ag 0.198 0.202 0.401

The following is a DFT calculation (GGA-PBEsol) of a relaxed CrRe2Hg crystal.

Symmetry = No. 65
E_form = 17.29 kcal/mol of atoms

abc: 2.847 4.728 4.728
angles: 110.73 90.00 90.00
Each line ends with the local moment (μB).
Fractional positions:
Hg 0.500 0.500 0.500  0.00
Re 0.000 0.500 0.000  -0.12
Re 0.000 0.000 0.500  -0.12
Cr 0.500 0.000 0.000  0.91

The following is a DFT calculation (GGA-PBEsol) of a relaxed Mg3Tc2 crystal.

Energy above the lowest structure with this stoichiometry = 0.267 eV per atom
Symmetry = No. 69
E_form = 6.78 kcal/mol of atoms

abc: 2.707 2.707 11.605
angles: 95.00 95.00 104.62
Fractional positions:
Mg 0.808 0.808 0.616
Mg 0.192 0.192 0.384
Mg 0.000 0.000 0.000
Tc 0.597 0.597 0.195
Tc 0.403 0.403 0.805

Calculated total energy readings, ordered: -11.59; -21.75; -202.77; -38.72; -13.23; -139.78; -40.20; -14.67; -34.47; -26.22 eV for the cell shown